1.
Below is a relaxed Li2LaNdS4 crystal, with properties calculated at the PBE level.

formation energy (no corrections)	-1.8040	eV/atom
volume	22.68	A^3/atom

Lattice parameters (Å, degrees): 4.111 6.635 7.122 69.07 90.00 90.00
Atoms (fractional coordinates):
S 0.500 0.243 0.749
S 0.000 0.757 0.744
La 0.500 0.500 0.000
S 0.000 0.243 0.256
Li 0.000 0.000 0.000
S 0.500 0.757 0.251
Nd 0.000 0.500 0.500
Li 0.500 0.000 0.500

***

2.
Below is a relaxed LiLa2NdS5 crystal, with properties calculated at the PBE level.

formation energy (no corrections)	-1.9776	eV/atom
volume	23.23	A^3/atom

Lattice parameters (Å, degrees): 4.090 8.654 12.159 90.00 90.00 103.67
Atoms (fractional coordinates):
Nd 0.196 0.393 0.000
Li 0.512 0.024 0.983
S 0.307 0.614 0.340
La 0.879 0.757 0.798
S 0.043 0.086 0.071
S 0.636 0.272 0.500
La 0.890 0.781 0.184
S 0.501 0.003 0.785
S 0.499 0.997 0.285
S 0.693 0.386 0.840
La 0.121 0.243 0.298
S 0.364 0.728 0.000
S 0.291 0.582 0.662
S 0.709 0.418 0.162
S 0.957 0.914 0.571
La 0.110 0.219 0.684
Li 0.488 0.976 0.483
Nd 0.804 0.607 0.500

***

3.
Below is a relaxed LiLa3Nd2S6 crystal, with properties calculated at the PBE level.

formation energy (no corrections)	-2.0127	eV/atom
volume	24.10	A^3/atom

Lattice parameters (Å, degrees): 7.100 7.100 7.046 99.70 99.70 120.14
Atoms (fractional coordinates):
S 0.244 0.244 0.761
Nd 0.666 0.334 0.000
La 0.833 0.167 0.500
S 0.080 0.404 0.240
La 0.167 0.833 0.500
S 0.920 0.596 0.760
S 0.756 0.756 0.239
Nd 0.334 0.666 0.000
La 0.500 0.500 0.500
Li 0.000 0.000 0.000
S 0.404 0.080 0.240
S 0.596 0.920 0.760

***

4.
Below is a relaxed LiLa4Nd3S8 crystal, with properties calculated at the PBE level.

formation energy (no corrections)	-2.0283	eV/atom
volume	24.28	A^3/atom

Lattice parameters (Å, degrees): 8.208 8.173 8.208 120.14 120.00 90.00
Atoms (fractional coordinates):
La 0.500 0.000 0.000
S 0.246 0.260 0.003
La 0.000 0.000 0.000
S 0.252 0.255 0.503
La 0.500 0.000 0.500
Nd 0.500 0.500 0.000
Li 0.000 0.500 0.000
S 0.243 0.740 0.486
S 0.748 0.745 0.497
S 0.757 0.260 0.003
La 0.000 0.000 0.500
S 0.754 0.740 0.997
Nd 0.500 0.500 0.500
S 0.243 0.740 0.997
S 0.757 0.260 0.514
Nd 0.000 0.500 0.500

***

no.,E (eV per atom)
1,-5.5581
2,-6.1080
3,-6.2624
4,-6.3375